1.
Compound: Mg7Tl3Bi
Source: Alexandria
Functional: PBE
Structure: relaxed

Computed properties:
As for the formation energy: 0.02 eV per atom. As for the space group: C2/m. The value obtained for the density is 5.709 Mg/m³.

a = 5.7731 Å, b = 7.7364 Å, c = 7.7364 Å
α = 92.22°, β = 112.37°, γ = 112.37°
Sites, in units of the cell vectors:
Mg: 0.2022 0.1727 0.1727
Mg: 0.3276 0.0506 0.6005
Mg: 0.6724 0.3995 0.9494
Mg: 0.3276 0.6005 0.0506
Mg: 0.0000 0.5000 0.5000
Mg: 0.6724 0.9494 0.3995
Mg: 0.7978 0.8273 0.8273
Tl: 0.0000 0.7676 0.2324
Tl: 0.5000 0.0000 0.0000
Tl: 0.0000 0.2324 0.7676
Bi: 0.5000 0.5000 0.5000



2.
Compound: Sn2HRu
Source: Alexandria
Functional: PBE
Structure: relaxed

Computed properties:
As for the space group: I-42d. The value obtained for the density is 6.992 Mg/m³. The polymorph energy (0 for the lowest one) comes out at 138 meV/atom.

a = 5.1069 Å, b = 5.1069 Å, c = 7.1602 Å
α = 69.11°, β = 69.11°, γ = 90.00°
Sites, in units of the cell vectors:
Ru: 0.0000 0.0000 0.0000
Ru: 0.7500 0.2500 0.5000
Sn: 0.5591 0.1250 0.2500
Sn: 0.1909 0.6250 0.2500
Sn: 0.3750 0.4409 0.7500
Sn: 0.8750 0.8091 0.7500
H: 0.5000 0.5000 0.0000
H: 0.2500 0.7500 0.5000